No. 1
VASP calculation (meta-GGA SCAN) on KNb3Cd at its PBEsol-relaxed geometry.

The value obtained for the energy of formation from the pure elements is 2.0894 eV/atom. The total energy comes out at -0.9385 Ha/atom. Its distance to the lowest polymorph of the same formula is 0 meV per atom. The density of states at the Fermi level comes out at 1.296 states/eV/atom.

The structure belongs to space group Pm-3m (No. 221); the cell edges are 5.139, 5.139 and 5.139 Å and the angles 90.00°, 90.00° and 90.00°. The asymmetric unit holds K at (0.000, 0.000, 0.000), Nb at (0.000, 0.500, 0.500) and Cd at (0.500, 0.500, 0.500).

---

No. 2
VASP calculation (meta-GGA SCAN) on Pr2ZnBi4 at its PBEsol-relaxed geometry.

The value obtained for the energy of formation from the pure elements is -0.6759 eV/atom. The total energy comes out at -2.2008 Ha/atom. The density of states at the Fermi level comes out at 0.321 states/eV/atom.

The structure belongs to space group P-4m2 (No. 115); the cell edges are 4.555, 4.555 and 9.794 Å and the angles 90.00°, 90.00° and 90.00°. The asymmetric unit holds Pr at (0.000, 0.500, 0.239), Zn at (0.000, 0.000, 0.000), Bi at (0.000, 0.000, 0.500), Bi at (0.000, 0.500, 0.842) and Bi at (0.500, 0.500, 0.500).

---

No. 3
VASP calculation (meta-GGA SCAN) on Gd12Co6Pb at its PBEsol-relaxed geometry.

The value obtained for the energy of formation from the pure elements is -0.1639 eV/atom. The total energy comes out at -1.7185 Ha/atom. The density of states at the Fermi level comes out at 0.469 states/eV/atom.

The structure belongs to space group Im-3 (No. 204); the cell edges are 9.587, 9.587 and 9.587 Å and the angles 90.00°, 90.00° and 90.00°. The asymmetric unit holds Gd at (0.000, 0.195, 0.305), Co at (0.000, 0.386, 0.500) and Pb at (0.000, 0.000, 0.000).

---

No. 4
VASP calculation (meta-GGA SCAN) on MnW2Se at its PBEsol-relaxed geometry.

The total energy comes out at -1.6117 Ha/atom. The density of states at the Fermi level comes out at 0.619 states/eV/atom. For the formation energy without anion corrections, the calculation gives 0.572 eV/atom.

The structure belongs to space group Immm (No. 71); the cell edges are 3.061, 4.339 and 8.634 Å and the angles 90.00°, 90.00° and 90.00°. The asymmetric unit holds Mn at (0.000, 0.000, 0.000), W at (0.000, 0.500, 0.246) and Se at (0.000, 0.000, 0.500).

---

No. 5
VASP calculation (meta-GGA SCAN) on NbCr2TeSe at its PBEsol-relaxed geometry.

The total energy comes out at -0.9057 Ha/atom. The density of states at the Fermi level comes out at 0.808 states/eV/atom. For the formation energy without anion corrections, the calculation gives 0.801 eV/atom.

The structure belongs to space group P4/mmm (No. 123); the cell edges are 4.389, 4.389 and 5.580 Å and the angles 90.00°, 90.00° and 90.00°. The asymmetric unit holds Nb at (0.000, 0.000, 0.000), Cr at (0.000, 0.500, 0.500), Te at (0.500, 0.500, 0.000) and Se at (0.500, 0.500, 0.500).

---

No. 6
VASP calculation (meta-GGA SCAN) on CoAs at its PBEsol-relaxed geometry.

The value obtained for the energy of formation from the pure elements is 0.5838 eV/atom. The total energy comes out at -0.6675 Ha/atom. The density of states at the Fermi level comes out at 1.086 states/eV/atom.

The structure belongs to space group Fd-3m (No. 227, origin choice 2); the cell edges are 5.983, 5.983 and 5.983 Å and the angles 90.00°, 90.00° and 90.00°. The asymmetric unit holds Co at (0.125, 0.125, 0.125) and As at (0.125, 0.125, 0.625).

---

No. 7
VASP calculation (meta-GGA SCAN) on SrBeRh2 at its PBEsol-relaxed geometry.

The value obtained for the energy of formation from the pure elements is 0.3332 eV/atom. The total energy comes out at -0.8529 Ha/atom. The density of states at the Fermi level comes out at 0.481 states/eV/atom.

The structure belongs to space group I-4m2 (No. 119); the cell edges are 3.903, 3.903 and 8.470 Å and the angles 90.00°, 90.00° and 90.00°. The asymmetric unit holds Sr at (0.000, 0.000, 0.000), Be at (0.000, 0.500, 0.250), Rh at (0.000, 0.000, 0.500) and Rh at (0.000, 0.500, 0.750).

---

No. 8
VASP calculation (meta-GGA SCAN) on Ca3AsF at its PBEsol-relaxed geometry.

The total energy comes out at -0.4367 Ha/atom. The density of states at the Fermi level comes out at 0.844 states/eV/atom. For the formation energy without anion corrections, the calculation gives -1.340 eV/atom.

The structure belongs to space group Pm-3m (No. 221); the cell edges are 4.751, 4.751 and 4.751 Å and the angles 90.00°, 90.00° and 90.00°. The asymmetric unit holds Ca at (0.000, 0.000, 0.500), As at (0.500, 0.500, 0.500) and F at (0.000, 0.000, 0.000).